a.
First-principles (PBE with a Hubbard U) data for a geometry-optimized BaCrOF2 structure, as listed in Alexandria via LeMat-Bulk.

Cell and atoms, written as POSCAR:
```
BaCrOF2
1.0
-3.045 3.045 4.165
3.045 -3.045 4.165
3.045 3.045 -4.165
Ba Cr O F
2 2 2 4
Direct
0.250 0.750 0.500
0.750 0.250 0.500
0.000 0.000 0.000
0.500 0.500 0.000
0.250 0.250 0.000
0.750 0.750 0.000
0.195 0.695 0.890
0.305 0.195 0.500
0.695 0.805 0.500
0.805 0.305 0.110
```

=====

b.
First-principles (PBE with a Hubbard U) data for a geometry-optimized BaCrOF2 structure, as listed in Alexandria via LeMat-Bulk.

Cell and atoms, written as POSCAR:
```
BaCrOF2
1.0
4.313 0.000 0.000
0.000 4.313 0.000
0.000 0.000 4.108
Ba Cr O F
1 1 1 2
Direct
0.000 0.000 0.000
0.500 0.500 0.500
0.500 0.500 0.000
0.000 0.500 0.500
0.500 0.000 0.500
```

Computed properties:
The density of states at the Fermi level comes out at 0.00 states/eV per atom.

=====

c.
First-principles (PBE with a Hubbard U) data for a geometry-optimized BaCrOF2 structure, as listed in Alexandria via LeMat-Bulk.

Cell and atoms, written as POSCAR:
```
BaCrOF2
1.0
4.968 0.000 0.000
0.000 4.968 0.000
0.000 0.000 5.020
Ba Cr O F
1 1 1 2
Direct
0.000 0.000 0.000
0.500 0.500 0.500
0.000 0.000 0.500
0.000 0.500 0.000
0.500 0.000 0.000
```

Computed properties:
The density of states at the Fermi level comes out at 0.57 states/eV per atom.

=====

Which structure is most stable? a, by 23 meV/atom over the runner-up.